No. 1
# CeZrN

Crystalline CeZrN at its relaxed geometry (PBE, Alexandria).

a b c (Å): 5.9350 5.9350 5.9350
angles (deg): 90.00 90.00 90.00
With the nearest neighbours (Å) after each atom.
Space group F-43m (No. 216)
Symmetry-distinct sites (fractional):
Ce: 0.0000 0.0000 0.0000 x4  4 N 2.57
Zr: 0.0000 0.0000 0.5000 x4  4 N 2.57
N: 0.2500 0.2500 0.7500 x4  4 Zr 2.57, 4 Ce 2.57

## Properties
E_form (uncorrected)	-0.228	eV per atom
ρ	7.80	g cm⁻³
electronic total energy	-7.83	eV per atom
distance to the lowest polymorph of the same formula	769	meV per atom

***

No. 2
# CeZr4N6

Crystalline CeZr4N6 at its relaxed geometry (PBE, Alexandria).

a b c (Å): 3.2494 10.8113 16.4157
angles (deg): 90.00 90.00 90.00
With the nearest neighbours (Å) after each atom.
Space group Cmcm (No. 63)
Symmetry-distinct sites (fractional):
Ce: 0.0000 0.1531 0.2500 x4  6 N 2.37-2.52
Zr: 0.0000 0.1026 0.6345 x8  5 N 2.11-2.29
Zr: 0.0000 0.3665 0.5475 x8  5 N 2.12-2.31
N: 0.0000 0.0000 0.0000 x4  6 Zr 2.31-2.47
N: 0.0000 0.1876 0.7500 x4  2 Zr 2.11
N: 0.0000 0.2699 0.0841 x8  5 Zr 2.28-2.40
N: 0.0000 0.4625 0.6603 x8  3 Zr 2.12-2.26

## Properties
E_form (uncorrected)	-1.604	eV per atom
ρ	6.78	g cm⁻³
electronic total energy	-9.79	eV per atom

***

Number 1: magnetic moment 0.2185 μB per atom. Number 2: magnetic moment 0.0226 μB per atom.